DFT (PBE-GGA) results for a relaxed structure of ScCrW4.

## Properties
- space group = No. 216
- electronic total energy (Ha/atom) = -0.403

a = 5.3095 Å, b = 5.3095 Å, c = 5.3095 Å
α = 60.00°, β = 60.00°, γ = 60.00°
Closest atoms and distances in Å follow each position.
Sites, in units of the cell vectors:
W  0.3746  0.3746  0.3746  6 W 2.65-2.66
Cr  0.7500  0.7500  0.7500  12 W 3.11, 4 Sc 3.25
W  0.3746  0.3746  0.8761  6 W 2.65-2.66
W  0.8761  0.3746  0.3746  6 W 2.65-2.66
Sc  0.0000  0.0000  0.0000  12 W 3.11, 4 Cr 3.25
W  0.3746  0.8761  0.3746  6 W 2.65-2.66

DFT (PBE-GGA) results for a relaxed structure of Rb2LiI6N.

## Properties
- formation energy (no corrections) (eV per atom) = -0.3111
- space group = No. 225
- electronic total energy (Ha/atom) = -0.090

a = 7.9277 Å, b = 7.9277 Å, c = 7.9259 Å
α = 59.99°, β = 59.99°, γ = 90.00°
Closest atoms and distances in Å follow each position.
Sites, in units of the cell vectors:
I  0.2338  0.2338  0.0000  1 N 2.62
Rb  0.2500  0.7500  0.5000  12 I 3.97
N  0.0000  0.0000  0.0000  6 I 2.62
Rb  0.7500  0.2500  0.5000  12 I 3.97
I  0.7662  0.2338  0.0000  1 N 2.62
I  0.7662  0.7662  0.4677  1 N 2.62
I  0.2338  0.2338  0.5323  1 N 2.62
I  0.2338  0.7662  0.0000  1 N 2.62
Li  0.5000  0.5000  0.0000  6 I 2.98
I  0.7662  0.7662  0.0000  1 N 2.62

DFT (PBE-GGA) results for a relaxed structure of Tm2ScGa3Pt4.

## Properties
- space group = No. 115
- electronic total energy (Ha/atom) = -0.215

a = 4.0656 Å, b = 4.0656 Å, c = 11.4822 Å
α = 90.00°, β = 90.00°, γ = 90.00°
Closest atoms and distances in Å follow each position.
Sites, in units of the cell vectors:
Pt  0.0000  0.0000  0.0000  4 Ga 2.53
Pt  0.5000  0.0000  0.6534  3 Ga 2.47-2.69, 2 Sc 2.69
Pt  0.5000  0.5000  0.0000  4 Ga 2.53
Sc  0.5000  0.5000  0.5000  4 Pt 2.69, 4 Ga 2.87
Ga  0.0000  0.5000  0.1318  5 Pt 2.47-2.53
Pt  0.0000  0.5000  0.3466  3 Ga 2.47-2.69, 2 Sc 2.69
Tm  0.0000  0.5000  0.7646  4 Ga 3.11, 8 Pt 3.15-3.38
Ga  0.0000  0.0000  0.5000  4 Pt 2.69, 4 Sc 2.87
Tm  0.5000  0.0000  0.2354  4 Ga 3.11, 8 Pt 3.15-3.38
Ga  0.5000  0.0000  0.8682  5 Pt 2.47-2.53